Record 1
First-principles (PBE) data for a geometry-optimized TaCdCuNi structure, as listed in OQMD.

Calculated values
V = 15.0 Å³/atom
Energy relative to the lowest polymorph listed for this composition = 0.2938 eV per atom
Energy relative to the elements = 354.3 meV per atom

```
data_TaCdCuNi
_chemical_formula_sum 'Ta4 Cd4 Cu4 Ni4'
_space_group_name_H-M_alt 'F -4 3 m'
_space_group_IT_number 216
_space_group_name_Hall 'F -4 2 3'
_cell_length_a 6.220
_cell_length_b 6.220
_cell_length_c 6.220
_cell_angle_alpha 90.00
_cell_angle_beta 90.00
_cell_angle_gamma 90.00
loop_
_atom_site_label
_atom_site_type_symbol
_atom_site_fract_x
_atom_site_fract_y
_atom_site_fract_z
Ta1 Ta 0.000 0.000 0.000
Cd1 Cd 0.250 0.250 0.750
Cu1 Cu 0.250 0.250 0.250
Ni1 Ni 0.000 0.000 0.500
```

Record 2
First-principles (PBE) data for a geometry-optimized LuPOsO structure, as listed in OQMD.

Calculated values
V = 14.5 Å³/atom
Energy relative to the lowest polymorph listed for this composition = 1.8986 eV per atom

```
data_LuPOsO
_chemical_formula_sum 'Lu2 P2 Os2 O2'
_space_group_name_H-M_alt 'P 4/n m m'
_space_group_IT_number 129
_cell_length_a 4.285
_cell_length_b 4.285
_cell_length_c 6.324
_cell_angle_alpha 90.00
_cell_angle_beta 90.00
_cell_angle_gamma 90.00
loop_
_space_group_symop_operation_xyz
'x,y,z'
'-x,-y,-z'
'-y+1/2,x,z'
'y+1/2,-x,-z'
'-x+1/2,-y+1/2,z'
'x+1/2,y+1/2,-z'
'y,-x+1/2,z'
'-y,x+1/2,-z'
'x+1/2,-y,-z'
'-x+1/2,y,z'
'-y,-x,-z'
'y,x,z'
'-x,y+1/2,-z'
'x,-y+1/2,z'
'y+1/2,x+1/2,-z'
'-y+1/2,-x+1/2,z'
loop_
_atom_site_label
_atom_site_type_symbol
_atom_site_fract_x
_atom_site_fract_y
_atom_site_fract_z
Lu1 Lu 0.250 0.750 0.000
P1 P 0.250 0.250 0.273
Os1 Os 0.250 0.250 0.643
O1 O 0.250 0.750 0.500
```

Record 3
First-principles (PBE) data for a geometry-optimized NpTeAs structure, as listed in OQMD.

Calculated values
V = 27.5 Å³/atom
VASP energy = -0.508 Ry/atom

```
data_NpTeAs
_chemical_formula_sum 'Np4 Te4 As4'
_space_group_name_H-M_alt 'F -4 3 m'
_space_group_IT_number 216
_space_group_name_Hall 'F -4 2 3'
_cell_length_a 6.914
_cell_length_b 6.914
_cell_length_c 6.914
_cell_angle_alpha 90.00
_cell_angle_beta 90.00
_cell_angle_gamma 90.00
loop_
_atom_site_label
_atom_site_type_symbol
_atom_site_fract_x
_atom_site_fract_y
_atom_site_fract_z
Np1 Np 0.000 0.000 0.000
Te1 Te 0.000 0.000 0.500
As1 As 0.250 0.250 0.250
```

Record 4
First-principles (PBE) data for a geometry-optimized NaTcSnMo structure, as listed in OQMD.

Calculated values
V = 17.2 Å³/atom
Energy relative to the lowest polymorph listed for this composition = 0.1003 eV per atom

```
data_NaTcSnMo
_chemical_formula_sum 'Na4 Tc4 Sn4 Mo4'
_space_group_name_H-M_alt 'F -4 3 m'
_space_group_IT_number 216
_space_group_name_Hall 'F -4 2 3'
_cell_length_a 6.503
_cell_length_b 6.503
_cell_length_c 6.503
_cell_angle_alpha 90.00
_cell_angle_beta 90.00
_cell_angle_gamma 90.00
loop_
_atom_site_label
_atom_site_type_symbol
_atom_site_fract_x
_atom_site_fract_y
_atom_site_fract_z
Na1 Na 0.000 0.000 0.000
Tc1 Tc 0.250 0.250 0.250
Sn1 Sn 0.250 0.250 0.750
Mo1 Mo 0.000 0.000 0.500
```

Record 5
First-principles (PBE) data for a geometry-optimized Dy3Mg3Ag2Pd structure, as listed in OQMD.

Calculated values
V = 22.8 Å³/atom
VASP energy = -0.269 Ry/atom

```
data_Dy3Mg3Ag2Pd
_chemical_formula_sum 'Dy3 Mg3 Ag2 Pd1'
_space_group_name_H-M_alt 'P -6 2 m'
_space_group_IT_number 189
_space_group_name_Hall 'P -6 -2'
_cell_length_a 7.5609
_cell_length_b 7.5609
_cell_length_c 4.1430
_cell_angle_alpha 90.00
_cell_angle_beta 90.00
_cell_angle_gamma 120.00
loop_
_atom_site_label
_atom_site_type_symbol
_atom_site_fract_x
_atom_site_fract_y
_atom_site_fract_z
Dy1 Dy 0.0000 0.4075 0.0000
Mg1 Mg 0.0000 0.7611 0.5000
Ag1 Ag 0.3333 0.6667 0.5000
Pd1 Pd 0.0000 0.0000 0.0000
```

Record 6
First-principles (PBE) data for a geometry-optimized PrGdPt4Pb2 structure, as listed in OQMD.

Calculated values
V = 22.0 Å³/atom
VASP energy = -0.432 Ry/atom

```
data_PrGdPt4Pb2
_chemical_formula_sum 'Pr1 Gd1 Pt4 Pb2'
_space_group_name_H-M_alt 'P -6 m 2'
_space_group_IT_number 187
_space_group_name_Hall 'P -6 2'
_cell_length_a 4.7084
_cell_length_b 4.7084
_cell_length_c 9.1802
_cell_angle_alpha 90.00
_cell_angle_beta 90.00
_cell_angle_gamma 120.00
loop_
_atom_site_label
_atom_site_type_symbol
_atom_site_fract_x
_atom_site_fract_y
_atom_site_fract_z
Pr1 Pr 0.0000 0.0000 0.0000
Gd1 Gd 0.3333 0.6667 0.5000
Pt1 Pt 0.0000 0.0000 0.3483
Pt2 Pt 0.3333 0.6667 0.1584
Pb1 Pb 0.6667 0.3333 0.2544
```

Record 7
First-principles (PBE) data for a geometry-optimized PmHoBe structure, as listed in OQMD.

Calculated values
V = 26.2 Å³/atom
VASP energy = -0.250 Ry/atom

```
data_PmHoBe
_chemical_formula_sum 'Pm4 Ho4 Be4'
_space_group_name_H-M_alt 'F -4 3 m'
_space_group_IT_number 216
_space_group_name_Hall 'F -4 2 3'
_cell_length_a 6.797
_cell_length_b 6.797
_cell_length_c 6.797
_cell_angle_alpha 90.00
_cell_angle_beta 90.00
_cell_angle_gamma 90.00
loop_
_atom_site_label
_atom_site_type_symbol
_atom_site_fract_x
_atom_site_fract_y
_atom_site_fract_z
Pm1 Pm 0.000 0.000 0.000
Ho1 Ho 0.250 0.250 0.250
Be1 Be 0.250 0.250 0.750
```

Record 8
First-principles (PBE) data for a geometry-optimized RbAgH3 structure, as listed in OQMD.

Calculated values
V = 14.9 Å³/atom
Energy relative to the lowest polymorph listed for this composition = 0.0000 eV per atom

```
data_RbAgH3
_chemical_formula_sum 'Rb4 Ag4 H12'
_space_group_name_H-M_alt 'C 1 2/m 1'
_space_group_IT_number 12
_space_group_name_Hall '-C 2y'
_cell_length_a 10.464
_cell_length_b 5.847
_cell_length_c 5.850
_cell_angle_alpha 90.00
_cell_angle_beta 123.55
_cell_angle_gamma 90.00
loop_
_atom_site_label
_atom_site_type_symbol
_atom_site_fract_x
_atom_site_fract_y
_atom_site_fract_z
Rb1 Rb 0.250 0.000 0.250
Ag1 Ag 0.000 0.000 0.500
Ag2 Ag 0.000 0.500 0.000
H1 H 0.000 0.206 0.294
H2 H 0.198 0.500 0.199
```

Record 9
First-principles (PBE) data for a geometry-optimized TmCdW structure, as listed in OQMD.

Calculated values
V = 23.8 Å³/atom
Energy relative to the lowest polymorph listed for this composition = 0.0000 eV per atom
Energy relative to the elements = 1109.4 meV per atom

```
data_TmCdW
_chemical_formula_sum 'Tm4 Cd4 W4'
_space_group_name_H-M_alt 'F -4 3 m'
_space_group_IT_number 216
_space_group_name_Hall 'F -4 2 3'
_cell_length_a 6.586
_cell_length_b 6.586
_cell_length_c 6.586
_cell_angle_alpha 90.00
_cell_angle_beta 90.00
_cell_angle_gamma 90.00
loop_
_atom_site_label
_atom_site_type_symbol
_atom_site_fract_x
_atom_site_fract_y
_atom_site_fract_z
Tm1 Tm 0.000 0.000 0.000
Cd1 Cd 0.250 0.250 0.250
W1 W 0.000 0.000 0.500
```

Record 10
First-principles (PBE) data for a geometry-optimized CsKZnSn structure, as listed in OQMD.

Calculated values
V = 40.2 Å³/atom
Energy relative to the lowest polymorph listed for this composition = 0.0000 eV per atom

```
data_CsKZnSn
_chemical_formula_sum 'Cs2 K2 Zn2 Sn2'
_space_group_name_H-M_alt 'P 1 21/m 1'
_space_group_IT_number 11
_space_group_name_Hall '-P 2yb'
_cell_length_a 6.869
_cell_length_b 6.661
_cell_length_c 7.417
_cell_angle_alpha 90.00
_cell_angle_beta 108.58
_cell_angle_gamma 90.00
loop_
_atom_site_label
_atom_site_type_symbol
_atom_site_fract_x
_atom_site_fract_y
_atom_site_fract_z
Cs1 Cs 0.029 0.250 0.175
K1 K 0.320 0.750 0.501
Zn1 Zn 0.500 0.000 0.000
Sn1 Sn 0.280 0.250 0.740
```

Record 11
First-principles (PBE) data for a geometry-optimized BaPdSeO structure, as listed in OQMD.

Calculated values
V = 22.1 Å³/atom
Energy relative to the lowest polymorph listed for this composition = 0.0000 eV per atom

```
data_BaPdSeO
_chemical_formula_sum 'Ba4 Pd4 Se4 O4'
_space_group_name_H-M_alt 'P c a 21'
_space_group_IT_number 29
_space_group_name_Hall 'P 2c -2ac'
_cell_length_a 7.328
_cell_length_b 8.249
_cell_length_c 5.859
_cell_angle_alpha 90.00
_cell_angle_beta 90.00
_cell_angle_gamma 90.00
loop_
_atom_site_label
_atom_site_type_symbol
_atom_site_fract_x
_atom_site_fract_y
_atom_site_fract_z
Ba1 Ba 0.076 0.160 0.000
Pd1 Pd 0.105 0.678 0.995
Se1 Se 0.160 0.504 0.660
O1 O 0.070 0.122 0.471
```

Record 12
First-principles (PBE) data for a geometry-optimized BaHoZnSe3 structure, as listed in OQMD.

Calculated values
V = 27.4 Å³/atom
VASP energy = -0.328 Ry/atom

```
data_BaHoZnSe3
_chemical_formula_sum 'Ba4 Ho4 Zn4 Se12'
_space_group_name_H-M_alt 'C m c m'
_space_group_IT_number 63
_space_group_name_Hall '-C 2c 2'
_cell_length_a 4.402
_cell_length_b 13.991
_cell_length_c 10.678
_cell_angle_alpha 90.00
_cell_angle_beta 90.00
_cell_angle_gamma 90.00
loop_
_atom_site_label
_atom_site_type_symbol
_atom_site_fract_x
_atom_site_fract_y
_atom_site_fract_z
Ba1 Ba 0.000 0.247 0.250
Ho1 Ho 0.000 0.000 0.000
Zn1 Zn 0.000 0.481 0.750
Se1 Se 0.000 0.072 0.750
Se2 Se 0.000 0.369 0.564
```